This record from Alexandria describes a relaxed NiPb2WO6 crystal. The functional is PBE with a Hubbard U.

Summary:
M_tot = 2.00 μB per cell
theoretical density = 9.6 g cm⁻³
N(E_F) = 0.00 states/eV per atom
VASP energy = -61.8 eV per formula unit

a = 5.698 Å, b = 5.698 Å, c = 5.698 Å
α = 60.00°, β = 60.00°, γ = 60.00°
Sites, in units of the cell vectors:
Ni 0.000 0.000 0.000
Pb 0.250 0.250 0.250
Pb 0.750 0.750 0.750
W 0.500 0.500 0.500
O 0.258 0.258 0.742
O 0.258 0.742 0.258
O 0.258 0.742 0.742
O 0.742 0.258 0.258
O 0.742 0.258 0.742
O 0.742 0.742 0.258